Entry 1:
{"formula": "KSc2Ta", "functional": "PBE", "state": "relaxed", "cell": [[5.327, -0.004, -0.003], [4.478, 2.887, -0.003], [0.346, 0.102, 7.814]], "species": ["K", "Sc", "Sc", "Ta"], "frac_coords": [[0.247, 0.247, 0.267], [0.008, 0.008, 0.911], [0.756, 0.756, 0.718], [0.489, 0.489, 0.604]], "delta_e_f_ev_per_atom": 0.654, "de_polymorph_ev_per_atom": 0.2960, "sg": "Cm", "dft_energy_ev_per_atom": -5.7492}

---

Entry 2:
{"formula": "KSc2Ta", "functional": "PBE", "state": "relaxed", "cell": [[-0.840, 2.147, -5.337], [-1.524, -4.062, -3.870], [-1.911, 1.461, 5.293]], "species": ["K", "Sc", "Sc", "Ta"], "frac_coords": [[0.750, 0.250, 0.500], [0.000, 0.000, 0.000], [0.250, 0.750, 0.500], [0.500, 0.500, 0.000]], "delta_e_f_ev_per_atom": 1.073, "de_polymorph_ev_per_atom": 0.7153, "sg": "I-4m2", "dft_energy_ev_per_atom": -5.3298}

---

Entry 3:
{"formula": "KSc2Ta", "functional": "PBE", "state": "relaxed", "cell": [[5.731, 0.068, 0.000], [-1.445, 5.546, 0.000], [0.000, 0.000, 3.072]], "species": ["K", "Sc", "Sc", "Ta"], "frac_coords": [[0.000, 0.500, 0.500], [0.000, 0.000, 0.000], [0.500, 0.500, 0.000], [0.500, 0.000, 0.500]], "delta_e_f_ev_per_atom": 0.878, "de_polymorph_ev_per_atom": 0.5201, "sg": "Cmmm", "dft_energy_ev_per_atom": -5.5251}

---

Entry 4:
{"formula": "KSc2Ta", "functional": "PBE", "state": "relaxed", "cell": [[-3.205, -2.314, 3.022], [-4.058, -2.874, 0.153], [4.214, -6.870, 0.089]], "species": ["K", "Sc", "Sc", "Ta"], "frac_coords": [[0.250, 0.250, 0.250], [0.018, 0.018, 0.916], [0.482, 0.482, 0.584], [0.750, 0.750, 0.750]], "delta_e_f_ev_per_atom": 0.663, "de_polymorph_ev_per_atom": 0.3052, "sg": "C2/m", "dft_energy_ev_per_atom": -5.7400}